(1)
A plane-wave DFT calculation with PBE was carried out for LaVGaC2 after structural relaxation.

Output
Calculated formation energy in meV per atom: 2504.0
Volume in Å³ per atom: 19.78
Uncorrected energy in eV per atom: -4.600

Structure (POSCAR):
```
LaVGaC2
1.0
4.4069 0.0000 0.0000
0.0000 5.0925 0.0000
0.0000 0.0000 4.4069
V C La Ga
1 2 1 1
direct
0.0000 0.5000 0.0000
0.0000 0.0000 0.5000
0.5000 0.0000 0.0000
0.0000 0.0000 0.0000
0.5000 0.5000 0.5000
```


(2)
A plane-wave DFT calculation with PBE was carried out for LaY2GaC after structural relaxation.

Output
Calculated formation energy in meV per atom: -372.4
Volume in Å³ per atom: 24.76
Uncorrected energy in eV per atom: -6.394

Structure (POSCAR):
```
LaY2GaC
1.0
4.9146 0.0000 0.0000
0.0000 4.9146 0.0000
0.0000 0.0000 5.1250
Ga C Y La
1 1 2 1
direct
0.5000 0.5000 0.5000
0.0000 0.0000 0.0000
0.5000 0.0000 0.0000
0.0000 0.5000 0.0000
0.0000 0.0000 0.5000
```


(3)
A plane-wave DFT calculation with PBE was carried out for LiGaC3 after structural relaxation.

Output
ΔE to the lowest computed polymorph in eV per atom: 0.000
Calculated formation energy in meV per atom: 2438.8
Volume in Å³ per atom: 13.10
Uncorrected energy in eV per atom: -4.084

Structure (POSCAR):
```
LiGaC3
1.0
4.0313 0.0000 0.0000
0.0000 4.0313 0.0000
0.0000 0.0000 4.0313
C Li Ga
3 1 1
direct
0.5000 0.0000 0.0000
0.0000 0.0000 0.5000
0.0000 0.5000 0.0000
0.5000 0.5000 0.5000
0.0000 0.0000 0.0000
```


(4)
A plane-wave DFT calculation with PBE was carried out for Li2GaC after structural relaxation.

Output
ΔE to the lowest computed polymorph in eV per atom: 0.000
Calculated formation energy in meV per atom: 661.5
Volume in Å³ per atom: 11.10
Uncorrected energy in eV per atom: -3.358

Structure (POSCAR):
```
Li2GaC
1.0
0.0000 2.8104 2.8104
2.8104 0.0000 2.8104
2.8104 2.8104 0.0000
C Li Ga
1 2 1
direct
0.0000 0.0000 0.0000
0.7500 0.7500 0.7500
0.2500 0.2500 0.2500
0.5000 0.5000 0.5000
```


(5)
A plane-wave DFT calculation with PBE was carried out for Li2GaC after structural relaxation.

Output
ΔE to the lowest computed polymorph in eV per atom: 0.069
Calculated formation energy in meV per atom: 730.8
Volume in Å³ per atom: 11.72
Uncorrected energy in eV per atom: -3.289

Structure (POSCAR):
```
Li2GaC
1.0
3.3695 0.0000 0.0000
0.0000 3.3695 0.0000
1.6848 1.6848 8.2554
Li C Ga
4 2 2
direct
0.1795 0.1250 0.2500
0.5705 0.6250 0.2500
0.3750 0.8205 0.7500
0.8750 0.4295 0.7500
0.5000 0.5000 0.0000
0.2500 0.7500 0.5000
0.0000 0.0000 0.0000
0.7500 0.2500 0.5000
```


(6)
A plane-wave DFT calculation with PBE was carried out for LiGaC3 after structural relaxation.

Output
ΔE to the lowest computed polymorph in eV per atom: 0.299
Calculated formation energy in meV per atom: 2737.8
Volume in Å³ per atom: 10.38
Uncorrected energy in eV per atom: -3.785

Structure (POSCAR):
```
LiGaC3
1.0
-0.8153 3.6397 -0.0578
-1.5425 -0.2918 3.3839
3.2972 0.7635 1.5688
C Li Ga
3 1 1
direct
0.0000 0.5000 0.0000
0.0000 0.0000 0.5000
0.5000 0.0000 0.0000
0.0000 0.0000 0.0000
0.5000 0.5000 0.5000
```